8
Lattice="-2.560 2.560 5.517 2.560 -2.560 5.517 2.560 2.560 -5.517" Properties=species:S:1:pos:R:3 comment="Fe2SF (PBE+U, relaxed)" space_group=I-42d dft_energy_ev_per_cell=-39.80 volume_a3_per_fu=72.3 pbc="T T T"
Fe 3.840 1.128 -1.379
Fe 1.128 1.280 1.379
Fe -1.280 1.432 4.138
Fe 1.432 1.280 6.896
S 2.560 0.000 2.759
S 0.000 0.000 5.517
F 0.000 0.000 0.000
F 0.000 2.560 2.759